# 1
{"formula": "Rb2ScSbI6", "functional": "PBE", "state": "optimized geometry", "e_form_raw_ev_per_fu": -9.12, "n_ef_per_ev_fu": 0.78, "lattice": [[8.390, 0.000, 0.000], [0.000, 8.390, 0.000], [4.195, 4.195, 6.877]], "species": ["I", "I", "I", "I", "I", "I", "Sc", "Rb", "Rb", "Sb"], "frac_coords": [[0.711, 0.711, 0.578], [0.745, 0.255, 0.000], [0.745, 0.745, 0.000], [0.255, 0.745, 0.000], [0.289, 0.289, 0.422], [0.255, 0.255, 0.000], [0.500, 0.500, 0.000], [0.750, 0.250, 0.500], [0.250, 0.750, 0.500], [0.000, 0.000, 0.000]]}

***

# 2
{"formula": "RbSb2SeI", "functional": "PBE", "state": "optimized geometry", "e_form_raw_ev_per_fu": -0.19, "polymorph_energy_mev_per_atom": 0, "n_ef_per_ev_fu": 3.74, "lattice": [[5.366, 0.000, 0.000], [0.000, 5.366, 0.000], [0.000, 0.000, 8.850]], "species": ["Sb", "Sb", "I", "Rb", "Se"], "frac_coords": [[0.000, 0.500, 0.000], [0.500, 0.000, 0.000], [0.000, 0.000, 0.500], [0.500, 0.500, 0.500], [0.000, 0.000, 0.000]]}

***

# 3
{"formula": "RbSbSeI2", "functional": "PBE", "state": "optimized geometry", "e_form_raw_ev_per_fu": -1.07, "polymorph_energy_mev_per_atom": 396, "n_ef_per_ev_fu": 2.17, "lattice": [[-5.756, -0.092, -2.292], [2.288, -0.648, -5.722], [-0.139, -5.533, 0.571]], "species": ["I", "I", "Se", "Sb", "Rb"], "frac_coords": [[0.000, 0.500, 0.000], [0.500, 0.000, 0.000], [0.000, 0.000, 0.000], [0.000, 0.000, 0.500], [0.500, 0.500, 0.500]]}

***

# 4
{"formula": "Rb2SbSeI6", "functional": "PBE", "state": "optimized geometry", "e_form_raw_ev_per_fu": -6.35, "n_ef_per_ev_fu": 3.98, "lattice": [[8.606, 0.000, 0.000], [0.000, 8.606, 0.000], [4.303, 4.303, 5.989]], "species": ["I", "I", "I", "I", "I", "I", "Se", "Sb", "Rb", "Rb"], "frac_coords": [[0.252, 0.252, 0.496], [0.748, 0.748, 0.504], [0.247, 0.753, 0.000], [0.753, 0.247, 0.000], [0.247, 0.247, 0.000], [0.753, 0.753, 0.000], [0.500, 0.500, 0.000], [0.000, 0.000, 0.000], [0.750, 0.250, 0.500], [0.250, 0.750, 0.500]]}

***

# 5
{"formula": "RbSbSeI2", "functional": "PBE", "state": "optimized geometry", "e_form_raw_ev_per_fu": 3.86, "polymorph_energy_mev_per_atom": 1383, "n_ef_per_ev_fu": 12.59, "lattice": [[-3.007, 5.888, -0.251], [-1.467, -0.450, 7.045], [5.738, 2.989, 1.386]], "species": ["I", "I", "Sb", "Se", "Rb"], "frac_coords": [[0.000, 0.000, 0.500], [0.500, 0.000, 0.000], [0.000, 0.500, 0.000], [0.500, 0.500, 0.500], [0.000, 0.000, 0.000]]}

***

# 6
{"formula": "RbSbSeI2", "functional": "PBE", "state": "optimized geometry", "e_form_raw_ev_per_fu": 0.33, "polymorph_energy_mev_per_atom": 678, "n_ef_per_ev_fu": 2.66, "lattice": [[-1.569, 3.365, -4.571], [1.060, -5.038, -4.073], [-5.595, -1.712, 0.661]], "species": ["Se", "I", "I", "Rb", "Sb"], "frac_coords": [[0.000, 0.000, 0.000], [0.000, 0.000, 0.500], [0.500, 0.000, 0.000], [0.000, 0.500, 0.000], [0.500, 0.500, 0.500]]}

***

# 7
{"formula": "RbSbSeI2", "functional": "PBE", "state": "optimized geometry", "e_form_raw_ev_per_fu": -3.06, "polymorph_energy_mev_per_atom": 0, "n_ef_per_ev_fu": 1.35, "lattice": [[6.249, 0.000, 0.000], [0.000, 6.249, 0.000], [0.000, 0.000, 5.345]], "species": ["I", "I", "Rb", "Se", "Sb"], "frac_coords": [[0.500, 0.000, 0.000], [0.000, 0.500, 0.000], [0.500, 0.500, 0.500], [0.000, 0.000, 0.500], [0.000, 0.000, 0.000]]}

***

# 8
{"formula": "RbSb2SeI", "functional": "PBE", "state": "optimized geometry", "e_form_raw_ev_per_fu": 5.51, "polymorph_energy_mev_per_atom": 1141, "n_ef_per_ev_fu": 3.52, "lattice": [[7.684, 0.000, 0.000], [0.000, 7.684, 0.000], [0.000, 0.000, 6.676]], "species": ["Sb", "Sb", "I", "Se", "Rb"], "frac_coords": [[0.500, 0.000, 0.000], [0.000, 0.500, 0.000], [0.000, 0.000, 0.500], [0.500, 0.500, 0.500], [0.000, 0.000, 0.000]]}